This record from Alexandria describes crystalline RbZn2I2 at its relaxed geometry. The functional is GGA-PBEsol.

Output
Mass density (kg/m3): 5091
Formation energy from raw total energies (eV/atom): -0.348

Structure (extended XYZ):
```
5
Lattice="-1.974 1.974 9.837 1.974 -1.974 9.837 1.974 1.974 -9.837" Properties=species:S:1:pos:R:3 pbc="T T T"
Rb 0.000 0.000 0.000
Zn 1.974 0.000 4.918
Zn 0.000 1.974 4.918
I 0.000 0.000 7.564
I 0.000 0.000 12.110
```



This record from Alexandria describes crystalline Rb2ZnI2 at its relaxed geometry. The functional is GGA-PBEsol.

Output
Mass density (kg/m3): 2827
Formation energy from raw total energies (eV/atom): -0.772

Structure (extended XYZ):
```
5
Lattice="-3.448 3.448 6.053 3.448 -3.448 6.053 3.448 3.448 -6.053" Properties=species:S:1:pos:R:3 pbc="T T T"
Rb 3.448 0.000 3.027
Rb 0.000 3.448 3.027
Zn 0.000 0.000 0.000
I 0.000 0.000 3.792
I 0.000 0.000 8.315
```



This record from Alexandria describes crystalline ReTe2RhI at its relaxed geometry. The functional is GGA-PBEsol.

Output
Mass density (kg/m3): 7957
Formation energy from raw total energies (eV/atom): 1.346

Structure (extended XYZ):
```
5
Lattice="5.023 0.000 0.000 0.000 5.023 0.000 0.000 0.000 5.551" Properties=species:S:1:pos:R:3 pbc="T T T"
Re 0.000 0.000 0.000
Te 0.000 2.512 0.000
Te 2.512 0.000 0.000
Rh 2.512 2.512 2.776
I 0.000 0.000 2.776
```



This record from Alexandria describes crystalline ReTeRhI2 at its relaxed geometry. The functional is GGA-PBEsol.

Output
Mass density (kg/m3): 7688
Formation energy from raw total energies (eV/atom): 1.431

Structure (extended XYZ):
```
5
Lattice="5.389 0.000 0.000 0.000 5.389 0.000 0.000 0.000 4.987" Properties=species:S:1:pos:R:3 pbc="T T T"
Re 0.000 0.000 0.000
Te 0.000 0.000 2.493
Rh 2.695 2.695 2.493
I 0.000 2.695 0.000
I 2.695 0.000 0.000
```



This record from Alexandria describes crystalline Re2RuI at its relaxed geometry. The functional is GGA-PBEsol.

Output
Mass density (kg/m3): 15855
Formation energy from raw total energies (eV/atom): 1.148

Structure (extended XYZ):
```
4
Lattice="0.000 3.156 3.156 3.156 0.000 3.156 3.156 3.156 0.000" Properties=species:S:1:pos:R:3 pbc="T T T"
Re 1.578 1.578 1.578
Re 4.734 4.734 4.734
Ru 0.000 0.000 0.000
I 3.156 3.156 3.156
```



This record from Alexandria describes crystalline ReSb2RuI at its relaxed geometry. The functional is GGA-PBEsol.

Output
Mass density (kg/m3): 7878
Formation energy from raw total energies (eV/atom): 1.599

Structure (extended XYZ):
```
5
Lattice="5.003 0.000 0.000 0.000 5.003 0.000 0.000 0.000 5.538" Properties=species:S:1:pos:R:3 pbc="T T T"
Re 0.000 0.000 0.000
Sb 0.000 2.502 0.000
Sb 2.502 0.000 0.000
Ru 2.502 2.502 2.769
I 0.000 0.000 2.769
```



This record from Alexandria describes crystalline ReTeRuI2 at its relaxed geometry. The functional is GGA-PBEsol.

Output
Mass density (kg/m3): 7839
Formation energy from raw total energies (eV/atom): 1.583

Structure (extended XYZ):
```
5
Lattice="5.295 0.000 0.000 0.000 5.295 0.000 0.000 0.000 5.051" Properties=species:S:1:pos:R:3 pbc="T T T"
Re 0.000 0.000 0.000
Te 2.648 2.648 0.000
Ru 2.648 2.648 2.526
I 0.000 2.648 2.526
I 2.648 0.000 2.526
```



This record from Alexandria describes crystalline ReS3I at its relaxed geometry. The functional is GGA-PBEsol.

Output
Mass density (kg/m3): 5469
Formation energy from raw total energies (eV/atom): 1.935

Structure (extended XYZ):
```
5
Lattice="4.990 0.000 0.000 0.000 4.990 0.000 0.000 0.000 4.990" Properties=species:S:1:pos:R:3 pbc="T T T"
Re 0.000 0.000 0.000
S 0.000 2.495 2.495
S 2.495 0.000 2.495
S 2.495 2.495 0.000
I 2.495 2.495 2.495
```



This record from Alexandria describes crystalline ReSb2SI at its relaxed geometry. The functional is GGA-PBEsol.

Output
Mass density (kg/m3): 7215
Formation energy from raw total energies (eV/atom): 0.817

Structure (extended XYZ):
```
5
Lattice="5.105 0.000 0.000 0.000 5.105 0.000 0.000 0.000 5.198" Properties=species:S:1:pos:R:3 pbc="T T T"
Re 0.000 0.000 0.000
Sb 0.000 2.553 0.000
Sb 2.553 0.000 0.000
S 2.553 2.553 2.599
I 0.000 0.000 2.599
```



This record from Alexandria describes crystalline ReTe2SI at its relaxed geometry. The functional is GGA-PBEsol.

Output
Mass density (kg/m3): 7188
Formation energy from raw total energies (eV/atom): 0.880

Structure (extended XYZ):
```
5
Lattice="5.082 0.000 0.000 0.000 5.082 0.000 0.000 0.000 5.371" Properties=species:S:1:pos:R:3 pbc="T T T"
Re 0.000 0.000 0.000
Te 0.000 2.541 0.000
Te 2.541 0.000 0.000
S 2.541 2.541 2.685
I 0.000 0.000 2.685
```



This record from Alexandria describes crystalline ReTcSbI2 at its relaxed geometry. The functional is GGA-PBEsol.

Output
Mass density (kg/m3): 7675
Formation energy from raw total energies (eV/atom): 1.736

Structure (extended XYZ):
```
5
Lattice="5.265 0.000 0.000 0.000 5.265 0.000 0.000 0.000 5.150" Properties=species:S:1:pos:R:3 pbc="T T T"
Re 0.000 0.000 0.000
Tc 2.632 2.632 2.575
Sb 2.632 2.632 0.000
I 0.000 2.632 2.575
I 2.632 0.000 2.575
```



This record from Alexandria describes crystalline ReSbTeI2 at its relaxed geometry. The functional is GGA-PBEsol.

Output
Mass density (kg/m3): 7924
Formation energy from raw total energies (eV/atom): 0.772

Structure (extended XYZ):
```
5
Lattice="5.303 0.000 0.000 0.000 5.303 0.000 0.000 0.000 5.137" Properties=species:S:1:pos:R:3 pbc="T T T"
Re 0.000 0.000 0.000
Sb 2.652 2.652 2.568
Te 0.000 0.000 2.568
I 0.000 2.652 0.000
I 2.652 0.000 0.000
```



- What is the formation energy from raw total energies in the fifth record?
  1.148 eV/atom



- Look up the formation energy from raw total energies of the eighth one.
  1.935 eV/atom



- The highest mass density belongs to which entry?
  Re2RuI



- What is the formation energy from raw total energies in the tenth record?
  0.880 eV/atom